[1]
{
  "formula": "Mg4TlIn",
  "functional": "PBE",
  "state": "relaxed",
  "lattice": [[0.0000, 4.1973, 4.1973], [4.1973, 0.0000, 4.1973], [4.1973, 4.1973, 0.0000]],
  "species": ["Mg", "Mg", "Mg", "Mg", "Tl", "In"],
  "fractional_positions": [[0.3748, 0.3748, 0.3748], [0.8755, 0.3748, 0.3748], [0.3748, 0.8755, 0.3748], [0.3748, 0.3748, 0.8755], [0.7500, 0.7500, 0.7500], [0.0000, 0.0000, 0.0000]],
  "magnetic_moment_mub_per_fu": 0.0,
  "de_polymorph_mev_per_atom": 111,
  "spacegroup": "No. 216",
  "dft_energy_ev_per_atom": -1.86,
  "formation_enthalpy_0k_mev_per_atom": 56
}


[2]
{
  "formula": "InSe",
  "functional": "PBE",
  "state": "relaxed",
  "lattice": [[8.1241, 0.1475, -0.0087], [6.0617, 5.4109, 0.0087], [-7.0867, -2.7949, 2.8265]],
  "species": ["In", "In", "Se", "Se"],
  "fractional_positions": [[0.6286, 0.3786, 0.7500], [0.3714, 0.6214, 0.2500], [0.8740, 0.1240, 0.2500], [0.1260, 0.8760, 0.7500]],
  "magnetic_moment_mub_per_fu": 0.0,
  "spacegroup": "No. 74",
  "dft_energy_ev_per_atom": -3.35,
  "formation_energy_uncorrected_kj_per_mol_atoms": -22.8
}


[3]
{
  "formula": "Tb3ZnSeCl",
  "functional": "PBE",
  "state": "relaxed",
  "lattice": [[-2.3627, -2.5026, 1.7726], [4.4350, -0.0081, 5.9000], [-6.9646, 8.0255, 2.0474]],
  "species": ["Se", "Se", "Zn", "Zn", "Cl", "Cl", "Tb", "Tb", "Tb", "Tb", "Tb", "Tb"],
  "fractional_positions": [[0.7500, 0.2366, 0.9418], [0.2500, 0.7634, 0.0582], [0.7500, 0.6481, 0.6957], [0.2500, 0.3519, 0.3043], [0.2500, 0.1169, 0.6302], [0.7500, 0.8831, 0.3698], [0.7500, 0.5466, 0.1704], [0.7500, 0.2910, 0.5007], [0.2500, 0.4534, 0.8296], [0.2500, 0.7090, 0.4993], [0.7500, 0.0620, 0.1584], [0.2500, 0.9380, 0.8416]],
  "magnetic_moment_mub_per_fu": 0.0,
  "spacegroup": "No. 11",
  "dft_energy_ev_per_atom": -4.55,
  "formation_energy_uncorrected_kj_per_mol_atoms": -109.0
}